DFT (PBE) results for an optimized crystal structure of PaTlTe4.

The structure belongs to space group C2/c (No. 15); the cell edges are 8.649, 14.463 and 7.630 Å and the angles 90.00°, 116.68° and 90.00°. The asymmetric unit holds Pa at (0.000, 0.000, 0.250), Tl at (0.000, 0.362, 0.250), Te at (0.081, 0.164, 0.542) and Te at (0.211, 0.416, 0.853).

The energy relative to the lowest polymorph listed for this composition is 0.022 eV per atom.